No. 1
VASP calculation (GGA-PBE) on a relaxed structure of Hf2Fe2H.

Cell: 5.033 5.033 4.584 Å, 56.71 56.71 90.00°
Site moments in Bohr magnetons follow the coordinates.
Fractional coordinates of all 5 atoms:
H  0.000  0.000  0.000  -0.01
Hf  0.750  0.250  0.500  -0.21
Hf  0.250  0.750  0.500  -0.21
Fe  0.298  0.298  0.405  0.94
Fe  0.702  0.702  0.595  0.94

Symmetry: No. 139
Energy above the most stable polymorph in this dataset, kJ/mol of formula units: 128

***

No. 2
VASP calculation (GGA-PBE) on a relaxed structure of HfFe2H2.

Cell: 3.296 3.296 4.977 Å, 70.66 70.66 90.00°
Site moments in Bohr magnetons follow the coordinates.
Fractional coordinates of all 5 atoms:
H  0.750  0.250  0.500  -0.02
H  0.250  0.750  0.500  -0.02
Hf  0.000  0.000  0.000  -0.31
Fe  0.334  0.334  0.331  1.94
Fe  0.666  0.666  0.669  1.94

Raw total energy, eV per atom: -6.8340
Symmetry: No. 139

***

No. 3
VASP calculation (GGA-PBE) on a relaxed structure of Hf2Fe2H.

Cell: 6.042 6.042 4.163 Å, 90.00 90.00 90.00°
Site moments in Bohr magnetons follow the coordinates.
Fractional coordinates of all 10 atoms:
H  0.000  0.000  0.000  0.01
H  0.500  0.500  0.000  0.01
Hf  0.322  0.822  0.000  -0.23
Hf  0.822  0.678  0.000  -0.23
Hf  0.678  0.178  0.000  -0.23
Hf  0.178  0.322  0.000  -0.23
Fe  0.126  0.626  0.500  1.75
Fe  0.626  0.874  0.500  1.75
Fe  0.874  0.374  0.500  1.75
Fe  0.374  0.126  0.500  1.75

Symmetry: No. 127
Energy above the most stable polymorph in this dataset, kJ/mol of formula units: 0